(A)
{"formula": "HoLu2Nb", "functional": "PBE", "state": "relaxed", "cell": [[3.7999, 0.0000, 0.0000], [0.0000, 3.7999, 0.0000], [0.0000, 0.0000, 7.2186]], "species": ["Ho", "Lu", "Lu", "Nb"], "frac_coords": [[0.0000, 0.0000, 0.0000], [0.5000, 0.5000, 0.2878], [0.5000, 0.5000, 0.7122], [0.0000, 0.0000, 0.5000]]}

***

(B)
{"formula": "HoLu2Nb", "functional": "PBE", "state": "relaxed", "cell": [[1.6254, 0.9384, 11.4380], [-1.6254, 0.9384, 11.4380], [0.0000, -1.8769, 11.4380]], "species": ["Ho", "Lu", "Lu", "Nb"], "frac_coords": [[0.0000, 0.0000, 0.0000], [0.4161, 0.4161, 0.4161], [0.5839, 0.5839, 0.5839], [0.5000, 0.5000, 0.5000]]}

***

So which one is most stable? That would be (A), about 26.6 kJ/mol of atoms below the next structure.

***

(A)
{"formula": "HoLuPa", "functional": "PBE", "state": "relaxed", "cell": [[3.3937, 0.0000, 0.0000], [-1.6968, 2.9390, 0.0000], [0.0000, 0.0000, 8.4221]], "species": ["Ho", "Lu", "Pa"], "frac_coords": [[0.0000, 0.0000, 0.0000], [0.3333, 0.6667, 0.6440], [0.6667, 0.3333, 0.3241]]}

***

(B)
{"formula": "HoLuPa", "functional": "PBE", "state": "relaxed", "cell": [[-1.6871, 1.6871, 7.4574], [1.6871, -1.6871, 7.4574], [1.6871, 1.6871, -7.4574]], "species": ["Ho", "Lu", "Pa"], "frac_coords": [[0.0000, 0.0000, 0.0000], [0.6822, 0.6822, 0.0000], [0.3398, 0.3398, 0.0000]]}

***

So which one is most stable? That would be (A), about 3.6 kJ/mol of atoms below the next structure.

***

(A)
{"formula": "HoLuPb", "functional": "PBE", "state": "relaxed", "cell": [[5.2591, 0.0000, 0.0000], [-2.6295, 4.5545, 0.0000], [0.0000, 0.0000, 3.6648]], "species": ["Ho", "Lu", "Pb"], "frac_coords": [[0.0000, 0.0000, 0.0000], [0.3333, 0.6667, 0.5355], [0.6667, 0.3333, 0.3119]]}

***

(B)
{"formula": "HoLuPb", "functional": "PBE", "state": "relaxed", "cell": [[-1.7802, 1.7802, 6.8316], [1.7802, -1.7802, 6.8316], [1.7802, 1.7802, -6.8316]], "species": ["Ho", "Lu", "Pb"], "frac_coords": [[0.0000, 0.0000, 0.0000], [0.6751, 0.6751, 0.0000], [0.3357, 0.3357, 0.0000]]}

***

So which one is most stable? That would be (B), about 10.9 kJ/mol of atoms below the next structure.